PBE-GGA KCu2Re, relaxed; polymorph energy (0 for the lowest one) = 71 meV/atom; DOS at the Fermi energy = 1.416 states/eV/cell; space-group type = P4mm (99); crystal system = tetragonal; DFT formation energy = 0.722 eV/atom
1.0
2.697 0.037 0.000
-0.036 2.697 0.000
0.000 0.000 9.224
Cu Re K
2 1 1
Direct
0.500 0.500 0.190
0.000 0.000 0.011
0.500 0.500 0.805
0.000 0.000 0.494


PBE-GGA GaHgCl6, relaxed; formation energy without anion corrections = -0.619 eV per atom; space-group type = C2/m (12); crystal system = monoclinic
1.0
-2.320 -1.611 6.184
5.765 -2.404 -2.685
1.674 6.573 0.937
Ga Cl Hg
1 6 1
Direct
0.500 0.500 0.500
0.562 0.841 0.748
0.793 0.793 0.344
0.159 0.438 0.252
0.207 0.207 0.656
0.438 0.159 0.252
0.841 0.562 0.748
0.000 0.000 0.000


PBE-GGA Tl2NiCl, relaxed; polymorph energy (0 for the lowest one) = 86 meV/atom; DOS at the Fermi energy = 2.197 states/eV/cell; formation energy without anion corrections = -0.040 eV per atom; space-group type = Imm2 (44); crystal system = orthorhombic
1.0
-4.952 0.497 3.544
-5.277 -0.568 -3.025
5.240 -2.540 1.850
Tl Ni Cl
2 1 1
Direct
0.754 0.254 0.500
0.055 0.055 0.000
0.271 0.771 0.500
0.419 0.419 0.000


| no. | size of the total moment (μB/cell) | mass density (Mg/m³) | E (eV/atom) |
| --- | --- | --- | --- |
| 1 | 0.00 | 8.72 | -4.712 |
| 2 | 1.01 | 3.35 | -2.420 |
| 3 | 0.33 | 8.50 | -3.130 |